A plane-wave DFT calculation with GGA-PBE was carried out for a relaxed structure of Na3Sr6Cd.

It has space group P2_1/c (No. 14), with a = 6.308 Å, b = 10.884 Å, c = 14.794 Å, α = 90.00°, β = 115.23° and γ = 90.00°. Symmetry generates all atoms from Na at (0.000, 0.000, 0.000), Na at (0.261, 0.160, 0.763), Sr at (0.077, 0.654, 0.078), Sr at (0.260, 0.006, 0.258), Sr at (0.420, 0.684, 0.421) and Cd at (0.500, 0.000, 0.500).

The calculation puts the formation energy from the elements at 0.01 eV/atom. The value obtained for the total magnetization is 0.00 μB/cell. As for the energy above the most stable polymorph in this dataset: 0.0350 eV/atom.